Here is a geometry-optimized SrTlWF6 structure from Alexandria via LeMat-Bulk. Energies are from PBE+U.

Cell and atoms, written as POSCAR:
```
SrTlWF6
1.0
6.324 0.000 0.000
-3.162 5.476 0.000
0.000 0.000 10.649
Sr Tl W F
2 2 2 12
direct
0.333 0.667 0.250
0.667 0.333 0.750
0.000 0.000 0.000
0.000 0.000 0.500
0.333 0.667 0.750
0.667 0.333 0.250
0.038 0.388 0.646
0.038 0.649 0.854
0.351 0.388 0.854
0.351 0.962 0.646
0.388 0.038 0.146
0.388 0.351 0.354
0.612 0.649 0.646
0.612 0.962 0.854
0.649 0.038 0.354
0.649 0.612 0.146
0.962 0.351 0.146
0.962 0.612 0.354
```

N(E_F) in states/eV/f.u.: 0.00
Raw total energy in eV for the cell shown: -96.30